Below is a geometry-optimized Ce4Pb5 structure, with properties calculated at the PBE-GGA level.

**Formation enthalpy at 0 K**: -0.3897 eV per atom
**Total energy**: -5.087 eV/atom
**Theoretical density**: 9870 kg/m³
**Total moment**: 3.0 μB/f.u.

Unit cell a=9.7270 b=9.7270 c=6.5557 alpha=90.00 beta=90.00 gamma=120.00
With the nearest neighbours (Å) after each atom.
Positions (direct):
Ce (0.0000, 0.0000, 0.0000)  6 Pb 3.27, 2 Ce 3.28
Ce (0.0000, 0.0000, 0.5000)  6 Pb 3.27, 2 Ce 3.28
Ce (0.0000, 0.3788, 0.2500)  9 Pb 3.22-3.46
Ce (0.0000, 0.6212, 0.7500)  9 Pb 3.22-3.46
Ce (0.3788, 0.0000, 0.2500)  9 Pb 3.22-3.46
Ce (0.3788, 0.3788, 0.7500)  9 Pb 3.22-3.46
Ce (0.6212, 0.0000, 0.7500)  9 Pb 3.22-3.46
Ce (0.6212, 0.6212, 0.2500)  9 Pb 3.22-3.46
Pb (0.0000, 0.2904, 0.7500)  7 Ce 3.22-3.39
Pb (0.0000, 0.7096, 0.2500)  7 Ce 3.22-3.39
Pb (0.2904, 0.0000, 0.7500)  7 Ce 3.22-3.39
Pb (0.2904, 0.2904, 0.2500)  7 Ce 3.22-3.39
Pb (0.3333, 0.6667, 0.0000)  2 Pb 3.28, 6 Ce 3.46
Pb (0.3333, 0.6667, 0.5000)  2 Pb 3.28, 6 Ce 3.46
Pb (0.6667, 0.3333, 0.0000)  2 Pb 3.28, 6 Ce 3.46
Pb (0.6667, 0.3333, 0.5000)  2 Pb 3.28, 6 Ce 3.46
Pb (0.7096, 0.0000, 0.2500)  7 Ce 3.22-3.39
Pb (0.7096, 0.7096, 0.7500)  7 Ce 3.22-3.39